6
Lattice="6.3424 0.0000 0.0000 0.0000 2.2664 -6.6786 0.0000 2.2664 6.6786" Properties=species:S:1:pos:R:3 comment="KGaSn | Alexandria | PBE | optimized geometry" mass_density_g_cm3=3.9 energy_ev_per_atom=-2.802 delta_e_f_ev_per_atom=-0.093 sg="Amm2, No. 38" pbc="T T T"
K 0.0000 2.2664 -1.8586
K 3.1712 2.2664 3.9839
Sn 0.0000 2.2664 1.7190
Sn 3.1712 2.2664 0.1382
Ga 1.8545 2.2664 -5.0735
Ga 4.4879 2.2664 -5.0735